# CaV2ZnO6, relaxed, DFT PBE+U
data_CaV2ZnO6
_space_group_name_H-M_alt 'C 1 2/c 1'
_space_group_IT_number 15
_space_group_name_Hall '-C 2yc'
_cell_length_a 9.2359
_cell_length_b 10.8857
_cell_length_c 6.1679
_cell_angle_alpha 90.00
_cell_angle_beta 115.46
_cell_angle_gamma 90.00
loop_
_atom_site_label
_atom_site_fract_x
_atom_site_fract_y
_atom_site_fract_z
Ca1 0.0000 0.0946 0.2500
V1 0.1376 0.4156 0.1737
Zn1 0.0000 0.1905 0.7500
O1 0.1032 0.2625 0.0763
O2 0.1127 0.4525 0.4601
O3 0.1363 0.0738 0.6726
# Total magnetic moment in μB/cell: 8.0
# Energy in eV per atom: -6.884